No. 1
## NdSmTh2As4 (PBE)

Data for a relaxed structure of NdSmTh2As4.

a b c (Å): 7.3444 4.2557 7.3689
angles (deg): 90.00 109.61 90.00
Last column: nearest neighbours and their distance in Å.
Space group P2/m (No. 10)
Inequivalent atoms, fractional coordinates:
Nd 0.0000 0.0000 0.0000 [1 per cell]  6 As 3.02
Sm 0.0000 0.5000 0.5000 [1 per cell]  6 As 3.00-3.01
Th 0.5000 0.0000 0.5000 [1 per cell]  6 As 2.99
Th 0.5000 0.5000 0.0000 [1 per cell]  6 As 3.01
As 0.2507 0.0000 0.7487 [2 per cell]  3 Th 2.99-3.01, 2 Sm 3.00, 1 Nd 3.02
As 0.2520 0.5000 0.2521 [2 per cell]  3 Th 2.99-3.01, 1 Sm 3.01, 2 Nd 3.02

## Properties
Its volume is 27.119 Å³/atom. The value obtained for the formation energy from the elements is -11.80 eV per formula unit. The calculation puts the density of states at the Fermi level at 0.5114 states/eV/atom. As for the total energy: -54.72 eV/cell.

***

No. 2
## Nd2Sm3ThAs6 (PBE)

Data for a relaxed structure of Nd2Sm3ThAs6.

a b c (Å): 18.4636 4.2440 8.4823
angles (deg): 90.00 103.17 90.00
Last column: nearest neighbours and their distance in Å.
Space group C2/m (No. 12)
Inequivalent atoms, fractional coordinates:
Nd 0.1675 0.0000 0.3356 [4 per cell]  6 As 3.00-3.03
Sm 0.0000 0.5000 0.5000 [2 per cell]  6 As 2.98-3.00
Sm 0.1677 0.0000 0.8321 [4 per cell]  6 As 2.97-3.00
Th 0.0000 0.5000 0.0000 [2 per cell]  6 As 2.98-3.00
As 0.0008 0.0000 0.7510 [4 per cell]  2 Th 3.00, 3 Sm 3.00, 1 Nd 3.03
As 0.1660 0.5000 0.0804 [4 per cell]  1 Th 2.98, 3 Sm 2.99-3.00, 2 Nd 3.03
As 0.1657 0.5000 0.5854 [4 per cell]  3 Sm 2.97-2.98, 3 Nd 3.00

## Properties
Its volume is 26.966 Å³/atom. The value obtained for the formation energy from the elements is -18.26 eV per formula unit. The calculation puts the density of states at the Fermi level at 0.1511 states/eV/atom. As for the total energy: -154.55 eV/cell.